Li6MnFe2O6 (PBE with a Hubbard U, optimized geometry); density of states at the Fermi level = 0.00 states/eV/cell; E above lowest polymorph = 0.045 eV/atom
1.0
3.2804 0.0265 -0.0121
-1.5367 14.6542 0.0740
-1.6545 0.4321 5.8266
O Fe Li Mn
12 4 12 2
Cartesian
-1.4585 11.0244 3.0412
0.1410 13.6093 4.0464
1.6391 3.2370 2.7055
0.1417 12.8728 0.9056
-0.0258 5.7770 3.7394
1.6302 6.0768 1.0640
0.0470 8.5600 2.0595
0.0128 1.4482 4.9360
0.0563 10.7914 5.6663
-1.7098 8.2864 4.6812
0.0045 3.5070 0.0516
0.0204 0.7096 1.7588
1.6215 7.1881 2.8841
1.6543 2.1329 0.8920
0.0602 9.6781 3.8473
0.1218 14.7002 5.8636
0.0582 9.3166 0.1209
-0.0230 7.1053 0.7847
1.6446 2.4770 4.6318
-1.4874 11.8125 1.1638
1.6997 9.5762 1.7812
-0.0172 4.9903 5.6051
0.1317 14.3714 2.1234
1.6252 4.7500 3.9993
0.1592 12.1076 2.7629
-1.5098 14.6362 3.7496
-0.0459 7.2540 4.9738
0.0070 2.1899 3.0131
-1.5034 12.1826 4.8778
-0.0078 4.6461 1.8939